The following is a GGA+U calculation of BaPaWO6 after structural relaxation, from Alexandria.

Output
Space-group type: Imma (74)
Total DFT energy (no corrections): -147.64 eV per cell

abc: 7.2865 7.2865 7.2865
angles: 120.21 118.55 91.08
Positions (direct):
1 Ba 0.3333 0.0833 0.2500
2 Ba 0.6667 0.9167 0.7500
3 Pa 0.0000 0.5000 0.5000
4 Pa 0.5000 0.5000 0.0000
5 W 0.0000 0.0000 0.5000
6 W 0.0000 0.5000 0.0000
7 O 0.0602 0.3431 0.1698
8 O 0.0602 0.8904 0.7172
9 O 0.0848 0.3348 0.7500
10 O 0.3267 0.1096 0.6698
11 O 0.3267 0.6569 0.2172
12 O 0.3566 0.6066 0.7500
13 O 0.6434 0.3934 0.2500
14 O 0.6733 0.3431 0.7828
15 O 0.6733 0.8904 0.3302
16 O 0.9152 0.6652 0.2500
17 O 0.9398 0.1096 0.2828
18 O 0.9398 0.6569 0.8302